[1]
# Tb5PmDy3

A relaxed Tb5PmDy3 crystal (PBE, the Alexandria database).

Output
Symmetry ... C2/m (12)
E_tot ... -4.22 eV/atom
Calculated formation energy ... 39.94 kJ per mole of atoms

Structure (POSCAR):
```
Tb5PmDy3
1.0
-6.697 4.792 -4.349
-8.373 2.563 3.170
-4.243 11.784 2.548
Dy Tb Pm
6 10 2
Direct
0.166 0.166 0.659
0.696 0.696 0.686
0.000 0.000 0.500
0.304 0.304 0.314
0.834 0.834 0.341
0.000 0.000 0.000
0.920 0.510 0.221
0.080 0.490 0.779
0.369 0.369 0.931
0.681 0.319 0.000
0.442 0.442 0.432
0.510 0.920 0.221
0.319 0.681 0.000
0.490 0.080 0.779
0.631 0.631 0.069
0.558 0.558 0.568
0.107 0.107 0.129
0.893 0.893 0.871
```



[2]
# Tb8Pm3Dy4

A relaxed Tb8Pm3Dy4 crystal (PBE, the Alexandria database).

Output
Symmetry ... C2/m (12)
E_tot ... -4.26 eV/atom
Calculated formation energy ... 37.18 kJ per mole of atoms

Structure (POSCAR):
```
Tb8Pm3Dy4
1.0
6.773 -0.067 -0.096
-3.285 8.593 1.161
-3.285 -1.894 8.461
Tb Dy Pm
8 4 3
Direct
0.500 0.747 0.253
0.548 0.271 0.271
0.986 0.740 0.740
0.000 0.643 0.357
0.000 0.357 0.643
0.452 0.729 0.729
0.014 0.260 0.260
0.500 0.253 0.747
0.500 0.000 0.000
0.000 0.000 0.500
0.000 0.500 0.000
0.000 0.000 0.000
0.500 0.500 0.500
0.500 0.000 0.500
0.500 0.500 0.000
```



| no. | DOS(E_F) (states/eV/f.u.) |
| --- | --- |
| 1 | 13.3 |
| 2 | 28.4 |